# PBE YHoZnRh, relaxed
data_YHoZnRh
_chemical_formula_sum 'Y1 Ho1 Zn1 Rh1'
_cell_length_a 3.491
_cell_length_b 3.491
_cell_length_c 7.051
_cell_angle_alpha 90.00
_cell_angle_beta 90.00
_cell_angle_gamma 90.00
_space_group_name_H-M_alt 'P 1'
_space_group_IT_number 1
loop_
_space_group_symop_operation_xyz
'x,y,z'
loop_
_atom_site_label
_atom_site_type_symbol
_atom_site_fract_x
_atom_site_fract_y
_atom_site_fract_z
Zn1 Zn 0.500 0.500 0.604
Rh1 Rh 0.500 0.500 0.112
Ho1 Ho 0.000 0.000 0.340
Y1 Y 0.000 0.000 0.872
# Energy of formation from the pure elements ... -59.7 kJ per mole of atoms
# Fermi-level density of states ... 3.15 states/eV per cell
# ΔE to the lowest computed polymorph ... 0.00 eV per formula unit
# Size of the total moment ... 0.00 μB per atom
# VASP energy ... -5.54 eV/atom
# Space group ... No. 99